# 1
The following is a DFT calculation (PBE-GGA) of a geometry-optimized YHg3 structure.

Structure (CIF):
```
data_YHg3
_cell_length_a 3.352
_cell_length_b 4.951
_cell_length_c 6.088
_cell_angle_alpha 90.00
_cell_angle_beta 89.81
_cell_angle_gamma 90.00
_space_group_name_H-M_alt 'P 1'
_space_group_IT_number 1
loop_
_space_group_symop_operation_xyz
'x,y,z'
loop_
_atom_site_label
_atom_site_type_symbol
_atom_site_fract_x
_atom_site_fract_y
_atom_site_fract_z
Hg1 Hg 0.250 0.000 0.991
Hg2 Hg 0.250 0.000 0.509
Hg3 Hg 0.250 0.500 0.250
Y1 Y 0.750 0.500 0.750
```

Properties
For the mass density, the calculation gives 11.35 g cm⁻³. The space group is P2/m (10). As for the density of states at the Fermi level: 0.48 states/eV per atom. The raw total energy is -2.079 eV per atom. For the formation enthalpy at 0 K, the calculation gives -0.2366 eV/atom.



# 2
The following is a DFT calculation (PBE-GGA) of a geometry-optimized La12I3O5 structure.

Structure (CIF):
```
data_La12I3O5
_cell_length_a 14.363
_cell_length_b 14.363
_cell_length_c 14.363
_cell_angle_alpha 109.47
_cell_angle_beta 109.47
_cell_angle_gamma 109.47
_space_group_name_H-M_alt 'P 1'
_space_group_IT_number 1
loop_
_space_group_symop_operation_xyz
'x,y,z'
loop_
_atom_site_label
_atom_site_type_symbol
_atom_site_fract_x
_atom_site_fract_y
_atom_site_fract_z
I1 I 0.750 0.375 0.125
I2 I 0.875 0.750 0.125
I3 I 0.375 0.750 0.625
I4 I 0.250 0.125 0.375
I5 I 0.875 0.125 0.250
I6 I 0.375 0.625 0.250
I7 I 0.625 0.375 0.750
I8 I 0.125 0.875 0.750
I9 I 0.750 0.875 0.625
I10 I 0.625 0.250 0.375
I11 I 0.125 0.250 0.875
I12 I 0.250 0.625 0.875
O1 O 0.125 0.375 0.250
O2 O 0.000 0.500 0.000
O3 O 0.000 0.000 0.000
O4 O 0.375 0.250 0.125
O5 O 0.500 0.000 0.500
O6 O 0.500 0.500 0.000
O7 O 0.125 0.750 0.375
O8 O 0.750 0.125 0.875
O9 O 0.750 0.625 0.375
O10 O 0.375 0.125 0.750
O11 O 0.625 0.875 0.250
O12 O 0.500 0.500 0.500
O13 O 0.500 0.000 0.000
O14 O 0.000 0.000 0.500
O15 O 0.250 0.375 0.625
O16 O 0.250 0.875 0.125
O17 O 0.000 0.500 0.500
O18 O 0.875 0.250 0.625
O19 O 0.625 0.750 0.875
O20 O 0.875 0.625 0.750
La1 La 0.695 0.107 0.007
La2 La 0.312 0.507 0.400
La3 La 0.993 0.393 0.305
La4 La 0.507 0.195 0.107
La5 La 0.588 0.695 0.688
La6 La 0.993 0.600 0.188
La7 La 0.312 0.805 0.412
La8 La 0.100 0.912 0.107
La9 La 0.600 0.993 0.688
La10 La 0.695 0.588 0.188
La11 La 0.805 0.493 0.393
La12 La 0.812 0.900 0.007
La13 La 0.107 0.695 0.507
La14 La 0.393 0.400 0.088
La15 La 0.088 0.900 0.393
La16 La 0.412 0.107 0.600
La17 La 0.088 0.188 0.195
La18 La 0.493 0.688 0.100
La19 La 0.812 0.912 0.305
La20 La 0.107 0.412 0.100
La21 La 0.393 0.993 0.805
La22 La 0.600 0.607 0.412
La23 La 0.900 0.812 0.507
La24 La 0.805 0.312 0.912
La25 La 0.400 0.393 0.588
La26 La 0.100 0.188 0.493
La27 La 0.195 0.688 0.088
La28 La 0.188 0.088 0.695
La29 La 0.607 0.007 0.195
La30 La 0.893 0.588 0.900
La31 La 0.507 0.312 0.900
La32 La 0.588 0.893 0.400
La33 La 0.912 0.812 0.805
La34 La 0.912 0.100 0.607
La35 La 0.893 0.305 0.493
La36 La 0.188 0.100 0.993
La37 La 0.607 0.600 0.912
La38 La 0.400 0.007 0.312
La39 La 0.305 0.412 0.812
La40 La 0.195 0.507 0.607
La41 La 0.900 0.088 0.893
La42 La 0.688 0.195 0.588
La43 La 0.493 0.805 0.893
La44 La 0.007 0.400 0.812
La45 La 0.412 0.305 0.312
La46 La 0.007 0.607 0.695
La47 La 0.688 0.493 0.600
La48 La 0.305 0.893 0.993
```

Properties
For the mass density, the calculation gives 6.20 g cm⁻³. The space group is Ia-3d (230). As for the density of states at the Fermi level: 1.32 states/eV per atom. Its energy relative to the elements, uncorrected is -31.561 eV/f.u. The raw total energy is -6.007 eV per atom.



# 3
The following is a DFT calculation (PBE-GGA) of a geometry-optimized Ce2TaCo structure.

Structure (CIF):
```
data_Ce2TaCo
_cell_length_a 2.968
_cell_length_b 2.968
_cell_length_c 10.492
_cell_angle_alpha 81.87
_cell_angle_beta 81.87
_cell_angle_gamma 60.00
_space_group_name_H-M_alt 'P 1'
_space_group_IT_number 1
loop_
_space_group_symop_operation_xyz
'x,y,z'
loop_
_atom_site_label
_atom_site_type_symbol
_atom_site_fract_x
_atom_site_fract_y
_atom_site_fract_z
Co1 Co 0.500 0.500 0.500
Ce1 Ce 0.094 0.094 0.719
Ce2 Ce 0.906 0.906 0.281
Ta1 Ta 0.000 0.000 0.000
```

Properties
For the mass density, the calculation gives 10.94 g cm⁻³. The space group is R-3m (166). As for the density of states at the Fermi level: 1.87 states/eV per atom. The raw total energy is -7.258 eV per atom. For the formation enthalpy at 0 K, the calculation gives 0.4483 eV/atom.



# 4
The following is a DFT calculation (PBE-GGA) of a geometry-optimized CuTeHI2 structure.

Structure (CIF):
```
data_CuTeHI2
_cell_length_a 5.694
_cell_length_b 5.694
_cell_length_c 3.850
_cell_angle_alpha 90.00
_cell_angle_beta 90.00
_cell_angle_gamma 90.00
_space_group_name_H-M_alt 'P 1'
_space_group_IT_number 1
loop_
_space_group_symop_operation_xyz
'x,y,z'
loop_
_atom_site_label
_atom_site_type_symbol
_atom_site_fract_x
_atom_site_fract_y
_atom_site_fract_z
I1 I 0.000 0.500 0.000
I2 I 0.500 0.000 0.000
H1 H 0.000 0.000 0.000
Te1 Te 0.000 0.000 0.500
Cu1 Cu 0.500 0.500 0.500
```

Properties
For the mass density, the calculation gives 5.93 g cm⁻³. The space group is P4/mmm (123). As for the density of states at the Fermi level: 0.59 states/eV per atom. The relative energy among the computed polymorphs is 0 kJ/mol of formula units. The raw total energy is -2.099 eV per atom.